1.
Na2PbAuBr6 | PBE | relaxed

Output
**E_form (uncorrected)**: -0.874 eV/atom
**VASP energy**: -28.40 eV for the cell shown

```
data_Na2PbAuBr6
_space_group_name_H-M_alt 'P 1'
_space_group_IT_number 1
_space_group_name_Hall 'P 1'
_cell_length_a 7.1062
_cell_length_b 7.6210
_cell_length_c 7.7535
_cell_angle_alpha 62.81
_cell_angle_beta 88.51
_cell_angle_gamma 65.83
loop_
_atom_site_label
_atom_site_type_symbol
_atom_site_fract_x
_atom_site_fract_y
_atom_site_fract_z
Na1 Na 0.0000 0.0000 0.0000
Na2 Na 0.4584 0.0550 0.4843
Pb1 Pb 0.6957 0.6005 0.0778
Au1 Au 0.1832 0.6258 0.5698
Br1 Br 0.0882 0.5029 0.3280
Br2 Br 0.2927 0.7567 0.7965
Br3 Br 0.3968 0.7867 0.3206
Br4 Br 0.6098 0.0671 0.8194
Br5 Br 0.7824 0.1297 0.2808
Br6 Br 0.9593 0.4692 0.8033
```

2.
SnBAu3 | PBE | relaxed

Output
**Energy relative to the lowest polymorph listed for this composition**: 0 meV/atom
**VASP energy**: -19.50 eV for the cell shown
**Energy relative to the elements**: 0.202 eV per atom

```
data_SnBAu3
_space_group_name_H-M_alt 'P m -3 m'
_space_group_IT_number 221
_space_group_name_Hall '-P 4 2 3'
_cell_length_a 4.5173
_cell_length_b 4.5173
_cell_length_c 4.5173
_cell_angle_alpha 90.00
_cell_angle_beta 90.00
_cell_angle_gamma 90.00
loop_
_atom_site_label
_atom_site_type_symbol
_atom_site_fract_x
_atom_site_fract_y
_atom_site_fract_z
Sn1 Sn 0.0000 0.0000 0.0000
B1 B 0.5000 0.5000 0.5000
Au1 Au 0.0000 0.5000 0.5000
```

Among the records above, which one has the lowest VASP energy? Na2PbAuBr6